Density functional theory data (PBE) for an optimized crystal structure of LaSc2TaV.

a b c (Å): 5.0436 4.5589 5.0436
angles (deg): 90.00 90.00 90.00
Site moments in Bohr magnetons follow the coordinates.
Fractional coordinates of all 5 atoms:
Sc (0.0000, 0.0000, 0.5000)  -0.07
Sc (0.5000, 0.0000, 0.0000)  -0.02
V (0.0000, 0.5000, 0.0000)  0.85
La (0.0000, 0.0000, 0.0000)  0.07
Ta (0.5000, 0.5000, 0.5000)  -0.64

As for the formation energy: 1.513 eV per atom. The calculation puts the magnetization at 0.006 Bohr magnetons per cell. The volume is 116 Å³ per cell.

---

Density functional theory data (PBE) for an optimized crystal structure of Pa2TcH6.

a b c (Å): 5.3381 4.8139 7.1926
angles (deg): 90.00 97.84 90.00
Site moments in Bohr magnetons follow the coordinates.
Fractional coordinates of all 18 atoms:
Pa (0.9843, 0.5001, 0.7578)  1.02
Pa (0.5157, 0.0001, 0.7422)  1.02
Pa (0.4843, 0.9999, 0.2578)  1.02
Pa (0.0157, 0.4999, 0.2422)  1.02
Tc (0.5000, 0.5000, 0.0000)  -0.07
Tc (0.0000, 0.0000, 0.5000)  -0.07
H (0.0082, 0.9999, 0.2476)  0.00
H (0.7443, 0.7504, 0.5027)  0.00
H (0.7555, 0.7499, 0.9975)  0.00
H (0.7445, 0.2499, 0.5025)  0.00
H (0.7557, 0.2504, 0.9973)  0.00
H (0.4918, 0.4999, 0.2524)  0.00
H (0.9918, 0.0001, 0.7524)  0.00
H (0.2557, 0.2496, 0.4973)  0.00
H (0.2445, 0.2501, 0.0025)  0.00
H (0.2555, 0.7501, 0.4975)  0.00
H (0.2443, 0.7496, 0.0027)  0.00
H (0.5082, 0.5001, 0.7476)  0.00

The calculation puts the magnetization at 4.686 Bohr magnetons per cell. The energy is -5.71 eV per atom. The volume is 183 Å³ per cell.

---

Density functional theory data (PBE) for an optimized crystal structure of MnOsW2.

a b c (Å): 3.7195 3.7195 9.7817
angles (deg): 79.04 79.04 90.00
Site moments in Bohr magnetons follow the coordinates.
Fractional coordinates of all 8 atoms:
Mn (0.5000, 0.5000, 0.0000)  3.03
Mn (0.2500, 0.7500, 0.5000)  3.03
Os (0.0000, 0.0000, 0.0000)  0.01
Os (0.7500, 0.2500, 0.5000)  0.01
W (0.6187, 0.1250, 0.2500)  -0.01
W (0.1313, 0.6250, 0.2500)  -0.01
W (0.3750, 0.3813, 0.7500)  -0.01
W (0.8750, 0.8687, 0.7500)  -0.01

As for the formation energy: 0.903 eV per atom. The calculation puts the magnetization at 6.287 Bohr magnetons per cell. The volume is 130 Å³ per cell. For the polymorph energy (0 for the lowest one), the calculation gives 796.3 meV/atom.